Record 1
# ScGaBiMo2

Crystalline ScGaBiMo2 at its relaxed geometry (PBE, Alexandria via LeMat-Bulk). Values from VASP.

Summary:
N(E_F)	5.63	states/eV/f.u.
size of the total moment	0.914	μB per atom
DFT formation energy	1.65	eV per atom

The structure in Quantum ESPRESSO input format:
```
&SYSTEM
  ibrav = 0, nat = 5, ntyp = 4
/
ATOMIC_SPECIES
Sc 44.96 Sc.upf
Ga 69.72 Ga.upf
Bi 208.98 Bi.upf
Mo 95.94 Mo.upf
CELL_PARAMETERS angstrom
4.913 0.000 0.000
0.000 4.913 0.000
0.000 0.000 5.404
ATOMIC_POSITIONS crystal
Sc 0.000 0.000 0.000
Ga 0.500 0.500 0.500
Bi 0.000 0.000 0.500
Mo 0.000 0.500 0.000
Mo 0.500 0.000 0.000
```

---

Record 2
# MoPOsCl2

Crystalline MoPOsCl2 at its relaxed geometry (PBE, Alexandria via LeMat-Bulk). Values from VASP.

Summary:
N(E_F)	2.13	states/eV/f.u.
size of the total moment	0.903	μB per atom
ΔE_f (raw)	1.03	eV per atom

The structure in Quantum ESPRESSO input format:
```
&SYSTEM
  ibrav = 0, nat = 5, ntyp = 4
/
ATOMIC_SPECIES
Mo 95.94 Mo.upf
P 30.97 P.upf
Os 190.23 Os.upf
Cl 35.45 Cl.upf
CELL_PARAMETERS angstrom
4.933 0.000 0.000
0.000 4.933 0.000
0.000 0.000 4.501
ATOMIC_POSITIONS crystal
Mo 0.000 0.000 0.000
P 0.500 0.500 0.000
Os 0.500 0.500 0.500
Cl 0.000 0.500 0.500
Cl 0.500 0.000 0.500
```

---

no.,calculated density (Mg/m³)
1,6.6
2,5.9